The following is a GGA-PBE calculation of a relaxed CdInAu2 crystal, from the Alexandria database.

Cell: 4.7460 4.7460 5.1280 Å, 122.42 122.42 79.87°
Closest atoms and distances in Å follow each position.
Element x y z (fractional)
Au1 0.5003 0.4998 0.0000  4 Cd 2.98-3.02, 4 In 2.98-3.01, 2 Au 3.04-3.05
Au2 0.9997 0.0002 0.0000  4 Cd 2.98-3.02, 4 In 2.98-3.01, 2 Au 3.04-3.05
Cd1 0.7500 0.2500 0.5000  8 Au 2.98-3.02, 2 In 3.05
In1 0.2500 0.7500 0.5000  8 Au 2.98-3.01, 2 Cd 3.05

Computed properties:
Theoretical density   12.690 g cm⁻³
Energy of formation   -0.6 eV per formula unit
Size of the total moment   0.0 μB/f.u.